Compound: BaTlHg2
Source: Alexandria via LeMat-Bulk
Functional: SCAN
Structure: PBEsol geometry

Energy relative to the lowest polymorph listed for this composition, meV/atom: 63
Crystal system: monoclinic
Formation enthalpy at 0 K, eV/atom: -0.43
Symmetry: Cm (8)

Cell lengths 4.5272, 5.5660, 5.9163 Å; angles 118.38, 112.50, 90.00 degrees
Element x y z (fractional)
1 Tl 0.4754 0.4766 0.9508
2 Hg 0.0267 0.0259 0.0533
3 Hg 0.7422 0.2418 0.4844
4 Ba 0.2557 0.7557 0.5115